(1)
# Cd3SeF (PBE, optimized geometry)
# **Magnetic moment**: 0.00 μB per atom
# **Excess energy over the best structure of this formula in the dataset**: 187 meV per atom
# **Raw formation energy**: -0.158 eV/atom
# **Symmetry**: Pm-3m (221)
# **Volume**: 33.95 A^3/atom
data_Cd3SeF
_symmetry_space_group_name_H-M 'P 1'
_symmetry_Int_Tables_number 1
_symmetry_space_group_name_Hall 'P 1'
_cell_length_a 5.537
_cell_length_b 5.537
_cell_length_c 5.537
_cell_angle_alpha 90.00
_cell_angle_beta 90.00
_cell_angle_gamma 90.00
loop_
_atom_site_label
_atom_site_type_symbol
_atom_site_fract_x
_atom_site_fract_y
_atom_site_fract_z
F1 F 0.500 0.500 0.500
Se1 Se 0.000 0.000 0.000
Cd1 Cd 0.000 0.500 0.000
Cd2 Cd 0.000 0.000 0.500
Cd3 Cd 0.500 0.000 0.000

=====

(2)
# CdSe2F (PBE, optimized geometry)
# **Magnetic moment**: 0.00 μB per atom
# **Excess energy over the best structure of this formula in the dataset**: 347 meV per atom
# **Raw formation energy**: -0.227 eV/atom
# **Symmetry**: Fm-3m (225)
# **Volume**: 18.15 A^3/atom
data_CdSe2F
_symmetry_space_group_name_H-M 'P 1'
_symmetry_Int_Tables_number 1
_symmetry_space_group_name_Hall 'P 1'
_cell_length_a 4.683
_cell_length_b 4.683
_cell_length_c 4.683
_cell_angle_alpha 60.00
_cell_angle_beta 60.00
_cell_angle_gamma 60.00
loop_
_atom_site_label
_atom_site_type_symbol
_atom_site_fract_x
_atom_site_fract_y
_atom_site_fract_z
F1 F 0.000 0.000 0.000
Se1 Se 0.250 0.250 0.250
Se2 Se 0.750 0.750 0.750
Cd1 Cd 0.500 0.500 0.500

=====

(3)
# CdSeF3 (PBE, optimized geometry)
# **Magnetic moment**: 0.60 μB per atom
# **Excess energy over the best structure of this formula in the dataset**: 0 meV per atom
# **Raw formation energy**: -1.153 eV/atom
# **Symmetry**: Pm-3m (221)
# **Volume**: 17.85 A^3/atom
data_CdSeF3
_symmetry_space_group_name_H-M 'P 1'
_symmetry_Int_Tables_number 1
_symmetry_space_group_name_Hall 'P 1'
_cell_length_a 4.469
_cell_length_b 4.469
_cell_length_c 4.469
_cell_angle_alpha 90.00
_cell_angle_beta 90.00
_cell_angle_gamma 90.00
loop_
_atom_site_label
_atom_site_type_symbol
_atom_site_fract_x
_atom_site_fract_y
_atom_site_fract_z
F1 F 0.000 0.500 0.000
F2 F 0.000 0.000 0.500
F3 F 0.500 0.000 0.000
Se1 Se 0.500 0.500 0.500
Cd1 Cd 0.000 0.000 0.000